A relaxed structure of Ca3ErHg4. Source: the Alexandria database, functional PBE-GGA.

Results
Energy of formation (meV per atom): -536
Total magnetic moment (μB/cell): 0.0
SG: P4/mmm
DOS(E_F) (states/eV/atom): 0.729

Cell and atoms, written as CIF:
```
data_Ca3ErHg4
_cell_length_a 3.7577
_cell_length_b 3.7577
_cell_length_c 15.0601
_cell_angle_alpha 90.00
_cell_angle_beta 90.00
_cell_angle_gamma 90.00
_space_group_name_H-M_alt 'P 1'
_space_group_IT_number 1
_space_group_name_Hall 'P 1'
loop_
_atom_site_label
_atom_site_type_symbol
_atom_site_fract_x
_atom_site_fract_y
_atom_site_fract_z
Ca1 Ca 0.5000 0.5000 0.2465
Ca2 Ca 0.5000 0.5000 0.5000
Ca3 Ca 0.5000 0.5000 0.7535
Hg1 Hg 0.0000 0.0000 0.8840
Hg2 Hg 0.0000 0.0000 0.1160
Hg3 Hg 0.0000 0.0000 0.3732
Hg4 Hg 0.0000 0.0000 0.6268
Er1 Er 0.5000 0.5000 0.0000
```